#i
BaHo2O4 | PBE-GGA | optimized geometry

Results
- M_tot (μB/f.u.) = 0.000
- ρ (g/cm3) = 7.24

a b c (Å): 7.012 7.012 7.012
angles (deg): 60.00 60.00 60.00
Positions (direct):
1 Ba 0.125 0.125 0.125
2 Ba 0.875 0.875 0.875
3 Ho 0.000 0.500 0.500
4 Ho 0.500 0.000 0.500
5 Ho 0.500 0.500 0.000
6 Ho 0.500 0.500 0.500
7 O 0.271 0.271 0.271
8 O 0.271 0.271 0.687
9 O 0.271 0.687 0.271
10 O 0.313 0.729 0.729
11 O 0.687 0.271 0.271
12 O 0.729 0.313 0.729
13 O 0.729 0.729 0.313
14 O 0.729 0.729 0.729

=====

#ii
BaHo2O4 | PBE-GGA | optimized geometry

Results
- M_tot (μB/f.u.) = 0.000
- ρ (g/cm3) = 8.21

a b c (Å): 10.362 3.441 12.049
angles (deg): 90.00 90.00 90.00
Positions (direct):
1 Ba 0.247 0.250 0.149
2 Ba 0.253 0.750 0.649
3 Ba 0.747 0.250 0.351
4 Ba 0.753 0.750 0.851
5 Ho 0.075 0.250 0.389
6 Ho 0.077 0.250 0.891
7 Ho 0.423 0.750 0.391
8 Ho 0.425 0.750 0.889
9 Ho 0.575 0.250 0.111
10 Ho 0.577 0.250 0.609
11 Ho 0.923 0.750 0.109
12 Ho 0.925 0.750 0.611
13 O 0.018 0.750 0.782
14 O 0.070 0.250 0.574
15 O 0.116 0.750 0.018
16 O 0.210 0.750 0.341
17 O 0.290 0.250 0.841
18 O 0.384 0.250 0.518
19 O 0.430 0.750 0.074
20 O 0.482 0.250 0.282
21 O 0.518 0.750 0.718
22 O 0.570 0.250 0.926
23 O 0.616 0.750 0.482
24 O 0.710 0.750 0.159
25 O 0.790 0.250 0.659
26 O 0.884 0.250 0.982
27 O 0.930 0.750 0.426
28 O 0.982 0.250 0.218

=====

Of them, the most stable is #ii and the least stable is #i.